[1]
! TaTe2CN | Alexandria via LeMat-Bulk | meta-GGA SCAN | single point on PBEsol structure; values from VASP
&SYSTEM
  ibrav = 0, nat = 5, ntyp = 4
/
ATOMIC_SPECIES
N 14.01 N.upf
Te 127.60 Te.upf
C 12.01 C.upf
Ta 180.95 Ta.upf
CELL_PARAMETERS angstrom
-0.7513 -2.4342 0.7236
3.4772 0.3197 4.6859
-4.3944 2.2794 3.1054
ATOMIC_POSITIONS crystal
N 0.5000 0.0000 0.0000
Te 0.0000 0.0000 0.5000
Te 0.0000 0.5000 0.0000
C 0.0000 0.0000 0.0000
Ta 0.5000 0.5000 0.5000
! **Formation energy from raw total energies**: 6.73 eV per formula unit

=====

[2]
! Hf3TiP | Alexandria via LeMat-Bulk | meta-GGA SCAN | single point on PBEsol structure; values from VASP
&SYSTEM
  ibrav = 0, nat = 5, ntyp = 3
/
ATOMIC_SPECIES
P 30.97 P.upf
Hf 178.49 Hf.upf
Ti 47.87 Ti.upf
CELL_PARAMETERS angstrom
4.7607 0.0000 0.0000
0.0000 4.7607 0.0000
0.0000 0.0000 4.7607
ATOMIC_POSITIONS crystal
P 0.0000 0.0000 0.0000
Hf 0.0000 0.5000 0.0000
Hf 0.0000 0.0000 0.5000
Hf 0.5000 0.0000 0.0000
Ti 0.5000 0.5000 0.5000
! **Total energy**: -3.1626 Ry per atom

=====

[3]
! LiSc2Ag | Alexandria via LeMat-Bulk | meta-GGA SCAN | single point on PBEsol structure; values from VASP
&SYSTEM
  ibrav = 0, nat = 4, ntyp = 3
/
ATOMIC_SPECIES
Sc 44.96 Sc.upf
Ag 107.87 Ag.upf
Li 6.94 Li.upf
CELL_PARAMETERS angstrom
-1.0782 -3.1766 0.4314
2.8867 -0.7642 1.5880
-2.8025 1.7579 5.9403
ATOMIC_POSITIONS crystal
Sc 0.0000 0.0000 0.9781
Sc 0.5000 0.5000 0.2802
Ag 0.0000 0.0000 0.5274
Li 0.5000 0.5000 0.7143
! **Total energy**: -1.1535 Ry per atom

=====

[4]
! CsAg2Te2 | Alexandria via LeMat-Bulk | meta-GGA SCAN | single point on PBEsol structure; values from VASP
&SYSTEM
  ibrav = 0, nat = 5, ntyp = 3
/
ATOMIC_SPECIES
Cs 132.91 Cs.upf
Te 127.60 Te.upf
Ag 107.87 Ag.upf
CELL_PARAMETERS angstrom
4.3898 0.0000 0.0000
0.0000 4.3898 0.0000
-2.1949 -2.1949 7.9498
ATOMIC_POSITIONS crystal
Cs 0.0000 0.0000 0.0000
Te 0.3592 0.3592 0.7184
Te 0.6408 0.6408 0.2816
Ag 0.2500 0.7500 0.5000
Ag 0.7500 0.2500 0.5000
! **Formation energy from raw total energies**: -2.46 eV per formula unit

=====

Computed DOS at the Fermi energy (states/eV per atom) in order:
0.673 0.744 0.616 0.486